# GdTlNiTe3 (PBE, relaxed)
data_GdTlNiTe3
_chemical_formula_sum 'Gd2 Tl2 Ni2 Te6'
_cell_length_a 8.2702
_cell_length_b 8.2702
_cell_length_c 11.0960
_cell_angle_alpha 90.00
_cell_angle_beta 90.00
_cell_angle_gamma 29.03
_symmetry_space_group_name_H-M 'P 1'
_symmetry_Int_Tables_number 1
loop_
_symmetry_equiv_pos_as_xyz
'x,y,z'
loop_
_atom_site_label
_atom_site_type_symbol
_atom_site_fract_x
_atom_site_fract_y
_atom_site_fract_z
Te1 Te 0.6306 0.6306 0.5816
Te2 Te 0.3694 0.3694 0.0816
Te3 Te 0.6306 0.6306 0.9184
Te4 Te 0.3694 0.3694 0.4184
Te5 Te 0.0757 0.0757 0.2500
Te6 Te 0.9243 0.9243 0.7500
Gd1 Gd 0.0000 0.0000 0.0000
Gd2 Gd 0.0000 0.0000 0.5000
Tl1 Tl 0.2519 0.2519 0.7500
Tl2 Tl 0.7481 0.7481 0.2500
Ni1 Ni 0.5212 0.5212 0.7500
Ni2 Ni 0.4788 0.4788 0.2500
# * M_tot: 0.05 Bohr magnetons per cell
# * polymorph energy (0 for the lowest one): 0.0 kJ/mol of atoms
# * crystal system: orthorhombic

# GdTmTlNi2 (PBE, relaxed)
data_GdTmTlNi2
_chemical_formula_sum 'Gd1 Tm1 Tl1 Ni2'
_cell_length_a 3.6692
_cell_length_b 7.4586
_cell_length_c 7.4586
_cell_angle_alpha 30.33
_cell_angle_beta 90.00
_cell_angle_gamma 90.00
_symmetry_space_group_name_H-M 'P 1'
_symmetry_Int_Tables_number 1
loop_
_symmetry_equiv_pos_as_xyz
'x,y,z'
loop_
_atom_site_label
_atom_site_type_symbol
_atom_site_fract_x
_atom_site_fract_y
_atom_site_fract_z
Gd1 Gd 0.0000 0.3614 0.3614
Ni1 Ni 0.5000 0.7971 0.7971
Ni2 Ni 0.5000 0.1985 0.1985
Tl1 Tl 0.5000 0.0025 0.0025
Tm1 Tm 0.0000 0.6404 0.6404
# * calculated total energy: -25.01 eV for the cell shown
# * M_tot: 0.00 Bohr magnetons per cell
# * crystal system: orthorhombic

# GdYTl4Ni2 (PBE, relaxed)
data_GdYTl4Ni2
_chemical_formula_sum 'Gd1 Y1 Tl4 Ni2'
_cell_length_a 7.5042
_cell_length_b 5.7990
_cell_length_c 5.7990
_cell_angle_alpha 44.24
_cell_angle_beta 90.00
_cell_angle_gamma 90.00
_symmetry_space_group_name_H-M 'P 1'
_symmetry_Int_Tables_number 1
loop_
_symmetry_equiv_pos_as_xyz
'x,y,z'
loop_
_atom_site_label
_atom_site_type_symbol
_atom_site_fract_x
_atom_site_fract_y
_atom_site_fract_z
Gd1 Gd 0.0000 0.4308 0.4308
Tl1 Tl 0.7961 0.1413 0.1413
Tl2 Tl 0.7030 0.8585 0.8585
Tl3 Tl 0.2970 0.8585 0.8585
Tl4 Tl 0.2039 0.1413 0.1413
Ni1 Ni 0.5000 0.2881 0.2881
Ni2 Ni 0.0000 0.7121 0.7121
Y1 Y 0.5000 0.5695 0.5695
# * calculated total energy: -33.23 eV for the cell shown
# * M_tot: 0.00 Bohr magnetons per cell
# * crystal system: orthorhombic

# GdY2Tl3Ni3 (PBE, relaxed)
data_GdY2Tl3Ni3
_chemical_formula_sum 'Gd1 Y2 Tl3 Ni3'
_cell_length_a 3.7779
_cell_length_b 7.5759
_cell_length_c 7.5759
_cell_angle_alpha 119.87
_cell_angle_beta 90.00
_cell_angle_gamma 90.00
_symmetry_space_group_name_H-M 'P 1'
_symmetry_Int_Tables_number 1
loop_
_symmetry_equiv_pos_as_xyz
'x,y,z'
loop_
_atom_site_label
_atom_site_type_symbol
_atom_site_fract_x
_atom_site_fract_y
_atom_site_fract_z
Ni1 Ni 0.5000 0.6657 0.3332
Ni2 Ni 0.0000 0.0001 0.0001
Ni3 Ni 0.5000 0.3332 0.6657
Tl1 Tl 0.5000 0.2611 0.9987
Tl2 Tl 0.5000 0.9987 0.2611
Tl3 Tl 0.5000 0.7400 0.7400
Y1 Y 0.0000 0.5928 0.0000
Y2 Y 0.0000 0.0000 0.5928
Gd1 Gd 0.0000 0.4083 0.4083
# * calculated total energy: -44.57 eV for the cell shown
# * M_tot: 0.02 Bohr magnetons per cell
# * crystal system: orthorhombic

# Gd3TmNi4 (PBE, relaxed)
data_Gd3TmNi4
_chemical_formula_sum 'Gd3 Tm1 Ni4'
_cell_length_a 5.4087
_cell_length_b 4.1736
_cell_length_c 7.0359
_cell_angle_alpha 90.00
_cell_angle_beta 90.05
_cell_angle_gamma 90.00
_symmetry_space_group_name_H-M 'P 1'
_symmetry_Int_Tables_number 1
loop_
_symmetry_equiv_pos_as_xyz
'x,y,z'
loop_
_atom_site_label
_atom_site_type_symbol
_atom_site_fract_x
_atom_site_fract_y
_atom_site_fract_z
Ni1 Ni 0.8749 0.5000 0.5376
Ni2 Ni 0.6247 0.5000 0.0385
Ni3 Ni 0.3755 0.0000 0.9624
Ni4 Ni 0.1246 0.0000 0.4618
Gd1 Gd 0.3701 0.5000 0.6793
Gd2 Gd 0.1301 0.5000 0.1800
Gd3 Gd 0.8697 0.0000 0.8203
Tm1 Tm 0.6302 0.0000 0.3202
# * M_tot: 0.00 Bohr magnetons per cell
# * ΔE_f: -0.44 eV per atom
# * crystal system: monoclinic

# GdTmNi2 (PBE, relaxed)
data_GdTmNi2
_chemical_formula_sum 'Gd2 Tm2 Ni4'
_cell_length_a 4.1723
_cell_length_b 5.4053
_cell_length_c 7.0089
_cell_angle_alpha 90.00
_cell_angle_beta 90.00
_cell_angle_gamma 90.00
_symmetry_space_group_name_H-M 'P 1'
_symmetry_Int_Tables_number 1
loop_
_symmetry_equiv_pos_as_xyz
'x,y,z'
loop_
_atom_site_label
_atom_site_type_symbol
_atom_site_fract_x
_atom_site_fract_y
_atom_site_fract_z
Tm1 Tm 0.0000 0.8835 0.8190
Tm2 Tm 0.0000 0.1165 0.3190
Gd1 Gd 0.5000 0.6202 0.1789
Gd2 Gd 0.5000 0.3798 0.6789
Ni1 Ni 0.5000 0.8796 0.5388
Ni2 Ni 0.5000 0.1204 0.0388
Ni3 Ni 0.0000 0.3732 0.9633
Ni4 Ni 0.0000 0.6268 0.4633
# * M_tot: 0.00 Bohr magnetons per cell
# * ΔE_f: -0.46 eV per atom
# * polymorph energy (0 for the lowest one): 0.2 kJ/mol of atoms
# * crystal system: orthorhombic

# GdTmNi2 (PBE, relaxed)
data_GdTmNi2
_chemical_formula_sum 'Gd2 Tm2 Ni4'
_cell_length_a 4.1788
_cell_length_b 7.0143
_cell_length_c 5.3908
_cell_angle_alpha 90.00
_cell_angle_beta 90.00
_cell_angle_gamma 90.00
_symmetry_space_group_name_H-M 'P 1'
_symmetry_Int_Tables_number 1
loop_
_symmetry_equiv_pos_as_xyz
'x,y,z'
loop_
_atom_site_label
_atom_site_type_symbol
_atom_site_fract_x
_atom_site_fract_y
_atom_site_fract_z
Tm1 Tm 0.5000 0.4312 0.3656
Tm2 Tm 0.0000 0.5688 0.8656
Gd1 Gd 0.5000 0.9288 0.1318
Gd2 Gd 0.0000 0.0712 0.6318
Ni1 Ni 0.0000 0.2209 0.1289
Ni2 Ni 0.5000 0.2956 0.8737
Ni3 Ni 0.0000 0.7044 0.3737
Ni4 Ni 0.5000 0.7791 0.6289
# * M_tot: 0.00 Bohr magnetons per cell
# * ΔE_f: -0.46 eV per atom
# * polymorph energy (0 for the lowest one): 0.0 kJ/mol of atoms
# * crystal system: orthorhombic

# GdTm3Ni4 (PBE, relaxed)
data_GdTm3Ni4
_chemical_formula_sum 'Gd1 Tm3 Ni4'
_cell_length_a 5.3647
_cell_length_b 4.1256
_cell_length_c 6.9523
_cell_angle_alpha 90.00
_cell_angle_beta 90.36
_cell_angle_gamma 90.00
_symmetry_space_group_name_H-M 'P 1'
_symmetry_Int_Tables_number 1
loop_
_symmetry_equiv_pos_as_xyz
'x,y,z'
loop_
_atom_site_label
_atom_site_type_symbol
_atom_site_fract_x
_atom_site_fract_y
_atom_site_fract_z
Ni1 Ni 0.1282 0.0000 0.5351
Ni2 Ni 0.3702 0.0000 0.0408
Ni3 Ni 0.8766 0.5000 0.4585
Ni4 Ni 0.6271 0.5000 0.9678
Tm1 Tm 0.8683 0.0000 0.1798
Tm2 Tm 0.3661 0.5000 0.3171
Tm3 Tm 0.1321 0.5000 0.8219
Gd1 Gd 0.6313 0.0000 0.6791
# * M_tot: 0.00 Bohr magnetons per cell
# * ΔE_f: -0.48 eV per atom
# * crystal system: monoclinic